First-principles (PBE with a Hubbard U) data for crystalline CsSnW2O8 at its relaxed geometry, as listed in Alexandria via LeMat-Bulk.

## Properties
As for the space-group type: No. 147. For the total magnetization, the calculation gives 0.896 μB per cell. The crystal system is trigonal. The value obtained for the total energy is -6.72 eV per atom.

Cell and atoms, written as POSCAR:
```
CsSnW2O8
1.0
-1.1244 -5.6299 1.4021
3.1994 3.3718 3.6498
-7.2347 2.4587 4.0704
Cs Sn W O
1 1 2 8
direct
0.0000 0.0000 0.0000 Cs
0.0000 0.0000 0.5000 Sn
0.6667 0.3333 0.2808 W
0.3333 0.6667 0.7192 W
0.3333 0.6667 0.9243 O
0.3344 0.2355 0.3456 O
0.7645 0.0989 0.3456 O
0.6667 0.3333 0.0757 O
0.2355 0.9011 0.6544 O
0.6656 0.7645 0.6544 O
0.0989 0.3344 0.6544 O
0.9011 0.6656 0.3456 O
```